[1]
The following is a PBE calculation of a relaxed structure of NbHgTe2, from the Alexandria database.

a b c (Å): 3.877 26.175 4.532
angles (deg): 90.00 90.00 90.00
Fractional positions:
Nb 0.000 0.036 0.250
Nb 0.000 0.964 0.750
Nb 0.500 0.464 0.750
Nb 0.500 0.536 0.250
Hg 0.000 0.452 0.250
Hg 0.000 0.548 0.750
Hg 0.500 0.048 0.750
Hg 0.500 0.952 0.250
Te 0.000 0.265 0.250
Te 0.000 0.382 0.750
Te 0.000 0.618 0.250
Te 0.000 0.735 0.750
Te 0.500 0.118 0.250
Te 0.500 0.235 0.750
Te 0.500 0.765 0.250
Te 0.500 0.882 0.750

Output
* excess energy over the best structure of this formula in the dataset: 0.398 eV per atom
* formation energy (no corrections): 60 meV per atom
* V: 459.9 Å³ per cell
* D(E_F): 6.8 states/eV/cell

***

[2]
The following is a PBE calculation of a relaxed structure of Sm6Co2GeCl3, from the Alexandria database.

a b c (Å): 9.530 9.530 8.694
angles (deg): 107.84 107.84 24.29
Fractional positions:
Sm 0.021 0.021 0.249
Sm 0.323 0.323 0.434
Sm 0.335 0.335 0.868
Sm 0.665 0.665 0.132
Sm 0.677 0.677 0.566
Sm 0.979 0.979 0.751
Co 0.172 0.172 0.350
Co 0.828 0.828 0.650
Ge 0.500 0.500 0.000
Cl 0.162 0.162 0.845
Cl 0.500 0.500 0.500
Cl 0.838 0.838 0.155

Output
* formation energy (no corrections): -953 meV per atom
* V: 308.5 Å³ per cell
* D(E_F): 5.0 states/eV/cell

***

[3]
The following is a PBE calculation of a relaxed structure of LiDy2HoAu4, from the Alexandria database.

a b c (Å): 8.658 8.658 8.658
angles (deg): 33.46 33.46 33.46
Fractional positions:
Li 0.000 0.000 0.000
Dy 0.256 0.256 0.256
Dy 0.744 0.744 0.744
Ho 0.500 0.500 0.500
Au 0.129 0.129 0.129
Au 0.378 0.378 0.378
Au 0.622 0.622 0.622
Au 0.871 0.871 0.871

Output
* V: 175.7 Å³ per cell
* D(E_F): 4.5 states/eV/cell
* ΔH_f (0 K): -0.789 eV per atom

***

[4]
The following is a PBE calculation of a relaxed structure of PmPr6Cd3, from the Alexandria database.

a b c (Å): 9.675 9.675 6.957
angles (deg): 90.00 90.00 94.83
Fractional positions:
Pm 0.194 0.806 0.500
Pm 0.806 0.194 0.000
Pr 0.062 0.490 0.839
Pr 0.190 0.241 0.513
Pr 0.201 0.799 0.015
Pr 0.241 0.190 0.013
Pr 0.424 0.576 0.701
Pr 0.490 0.062 0.339
Pr 0.510 0.938 0.839
Pr 0.576 0.424 0.201
Pr 0.759 0.810 0.513
Pr 0.799 0.201 0.515
Pr 0.810 0.759 0.013
Pr 0.938 0.510 0.339
Cd 0.003 0.997 0.761
Cd 0.264 0.510 0.236
Cd 0.490 0.736 0.236
Cd 0.510 0.264 0.736
Cd 0.736 0.490 0.736
Cd 0.997 0.003 0.261

Output
* V: 649.0 Å³ per cell
* D(E_F): 23.9 states/eV/cell
* ΔH_f (0 K): -0.098 eV per atom

***

Which formula does entry 4 have? PmPr6Cd3